Entry 1:
NbCr2SiN | PBE | relaxed

Values from the calculation:
Theoretical density ... 5.54 Mg/m³
Volume ... 71.7 Å³/cell

abc: 4.595 4.595 3.394
angles: 90.00 90.00 90.00
Space group P4/mmm (No. 123)
Unique sites:
Nb1 0.000 0.000 0.000
Cr1 0.000 0.500 0.500
Si1 0.500 0.500 0.500
N1 0.500 0.500 0.000

---

Entry 2:
SmNb2CrN4 | PBE | relaxed

Values from the calculation:
Theoretical density ... 7.81 Mg/m³
Volume ... 377.6 Å³/cell

abc: 3.166 10.944 10.896
angles: 90.00 90.00 90.00
Space group Cmcm (No. 63)
Unique sites:
Sm1 0.000 0.103 0.250
Nb1 0.000 0.369 0.048
Cr1 0.000 0.160 0.750
N1 0.000 0.000 0.000
N2 0.000 0.271 0.616
N3 0.000 0.442 0.250

---

E_form (uncorrected) / eV/atom: 1.022; -0.976